Material: Mg2In4SnHg2
Method: DFT, PBE
State: optimized geometry

a b c (Å): 6.0867 8.2342 8.8095
angles (deg): 132.59 133.19 67.86
Element x y z (fractional)
1 Mg 0.8086 0.3966 0.0086
2 Sn 0.0000 0.0000 0.0000
3 Mg 0.1914 0.6034 0.9914
4 In 0.1447 0.1354 0.4940
5 In 0.5094 0.7532 0.9121
6 Hg 0.3767 0.7052 0.4631
7 In 0.8553 0.8646 0.5060
8 In 0.4906 0.2468 0.0879
9 Hg 0.6233 0.2948 0.5369

Uncorrected energy, eV/cell: -18.955
DFT formation energy, kJ per mole of atoms: -2.20
Space group: P-1, No. 2